LaZrOs2 PBE-GGA optimized geometry; calculated total energy = -35.1 eV/cell; total magnetic moment = 0.00 μB/cell
1.0
3.0326 0.0058 0.0000
-1.1494 2.8063 0.0000
0.0000 0.0000 9.0455
La Os Zr
1 2 1
Direct
0.5000 0.5000 0.7500
0.0000 0.0000 0.0161
0.0000 0.0000 0.4839
0.5000 0.5000 0.2500